Material: LaTm2GeN4
Method: DFT, GGA-PBE
State: relaxed

The space group is Cmcm (No. 63) and the conventional cell measures 3.5175, 11.4722 and 11.4950 Å, with angles of 90.00, 90.00 and 90.00 degrees. The asymmetric unit holds La at (0.0000, 0.0963, 0.2500), Tm at (0.0000, 0.3694, 0.0429), Ge at (0.0000, 0.1644, 0.7500), N at (0.0000, 0.0000, 0.0000), N at (0.0000, 0.2662, 0.6225) and N at (0.0000, 0.4176, 0.2500).

The calculation puts the total moment at 0.00 μB per atom. The calculated volume is 14.5 Å³/atom. The calculation puts the uncorrected formation energy at -1.1702 eV per atom.